1.
Entry from Alexandria: Nd3ErTm3 after structural relaxation (PBE-GGA).

## Properties
size of the total moment = 0.000 Bohr magnetons per cell
polymorph energy (0 for the lowest one) = 0.00 kcal/mol of atoms
uncorrected energy = -4.591 eV/atom
calculated formation energy = 0.02 eV/atom

Cell lengths 9.588, 9.588, 5.729 Å; angles 90.00, 90.00, 120.00 degrees
Fractional positions:
Nd: 0.050 0.805 0.250
Nd: 0.195 0.244 0.250
Nd: 0.244 0.050 0.750
Nd: 0.756 0.950 0.250
Nd: 0.805 0.756 0.750
Nd: 0.950 0.195 0.750
Er: 0.333 0.667 0.250
Er: 0.667 0.333 0.750
Tm: 0.096 0.616 0.750
Tm: 0.384 0.480 0.750
Tm: 0.480 0.096 0.250
Tm: 0.520 0.904 0.750
Tm: 0.616 0.520 0.250
Tm: 0.904 0.384 0.250

2.
Entry from Alexandria: Nd2Er5Tm12 after structural relaxation (PBE-GGA).

## Properties
size of the total moment = 0.000 Bohr magnetons per cell
uncorrected energy = -4.393 eV/atom
calculated formation energy = 0.13 eV/atom

Cell lengths 9.054, 9.054, 8.397 Å; angles 90.96, 90.96, 60.51 degrees
Fractional positions:
Nd: 0.187 0.813 0.000
Nd: 0.813 0.187 0.000
Er: 0.197 0.197 0.007
Er: 0.266 0.266 0.422
Er: 0.500 0.500 0.500
Er: 0.734 0.734 0.578
Er: 0.803 0.803 0.993
Tm: 0.056 0.056 0.327
Tm: 0.065 0.681 0.350
Tm: 0.161 0.523 0.753
Tm: 0.319 0.935 0.650
Tm: 0.405 0.405 0.117
Tm: 0.477 0.839 0.247
Tm: 0.523 0.161 0.753
Tm: 0.595 0.595 0.883
Tm: 0.681 0.065 0.350
Tm: 0.839 0.477 0.247
Tm: 0.935 0.319 0.650
Tm: 0.944 0.944 0.673

3.
Entry from Alexandria: NdEr12Tm6 after structural relaxation (PBE-GGA).

## Properties
size of the total moment = 0.000 Bohr magnetons per cell
polymorph energy (0 for the lowest one) = 0.00 kcal/mol of atoms
uncorrected energy = -4.383 eV/atom
calculated formation energy = 0.16 eV/atom

Cell lengths 8.432, 8.432, 8.432 Å; angles 88.16, 88.16, 88.16 degrees
Fractional positions:
Nd: 0.000 0.000 0.000
Er: 0.008 0.356 0.212
Er: 0.212 0.008 0.356
Er: 0.227 0.564 0.456
Er: 0.356 0.212 0.008
Er: 0.436 0.544 0.773
Er: 0.456 0.227 0.564
Er: 0.544 0.773 0.436
Er: 0.564 0.456 0.227
Er: 0.644 0.788 0.992
Er: 0.773 0.436 0.544
Er: 0.788 0.992 0.644
Er: 0.992 0.644 0.788
Tm: 0.092 0.256 0.686
Tm: 0.256 0.686 0.092
Tm: 0.314 0.908 0.744
Tm: 0.686 0.092 0.256
Tm: 0.744 0.314 0.908
Tm: 0.908 0.744 0.314

4.
Entry from Alexandria: Nd2ErTm4 after structural relaxation (PBE-GGA).

## Properties
size of the total moment = 0.000 Bohr magnetons per cell
polymorph energy (0 for the lowest one) = 0.00 kcal/mol of atoms
uncorrected energy = -4.499 eV/atom
calculated formation energy = 0.07 eV/atom

Cell lengths 6.034, 8.384, 9.458 Å; angles 88.41, 78.29, 72.37 degrees
Fractional positions:
Nd: 0.000 0.000 0.000
Nd: 0.010 0.884 0.352
Nd: 0.740 0.843 0.728
Nd: 0.849 0.397 0.862
Er: 0.101 0.466 0.508
Er: 0.892 0.334 0.231
Tm: 0.203 0.050 0.638
Tm: 0.284 0.622 0.804
Tm: 0.335 0.521 0.156
Tm: 0.407 0.201 0.935
Tm: 0.459 0.111 0.287
Tm: 0.542 0.674 0.448
Tm: 0.644 0.260 0.581
Tm: 0.728 0.732 0.091

5.
Entry from Alexandria: NdErTm2 after structural relaxation (PBE-GGA).

## Properties
size of the total moment = 0.000 Bohr magnetons per cell
polymorph energy (0 for the lowest one) = 2.40 kcal/mol of atoms
uncorrected energy = -4.457 eV/atom
calculated formation energy = 0.11 eV/atom

Cell lengths 4.082, 4.082, 7.654 Å; angles 90.00, 90.00, 90.00 degrees
Fractional positions:
Nd: 0.000 0.000 0.000
Er: 0.000 0.000 0.500
Tm: 0.500 0.500 0.260
Tm: 0.500 0.500 0.740

6.
Entry from Alexandria: NdEr4Tm3 after structural relaxation (PBE-GGA).

## Properties
size of the total moment = 0.045 Bohr magnetons per cell
polymorph energy (0 for the lowest one) = 0.00 kcal/mol of atoms
uncorrected energy = -4.551 eV/atom
calculated formation energy = 0.00 eV/atom

Cell lengths 11.154, 7.205, 6.218 Å; angles 90.00, 90.00, 90.00 degrees
Fractional positions:
Nd: 0.000 0.126 0.000
Nd: 0.500 0.874 0.500
Er: 0.000 0.376 0.501
Er: 0.000 0.624 0.999
Er: 0.248 0.624 0.334
Er: 0.252 0.376 0.834
Er: 0.500 0.376 0.499
Er: 0.500 0.624 0.001
Er: 0.748 0.376 0.834
Er: 0.752 0.624 0.334
Tm: 0.000 0.874 0.500
Tm: 0.250 0.126 0.334
Tm: 0.250 0.874 0.834
Tm: 0.500 0.126 0.000
Tm: 0.750 0.126 0.334
Tm: 0.750 0.874 0.834

7.
Entry from Alexandria: Nd4Er6Tm after structural relaxation (PBE-GGA).

## Properties
size of the total moment = 0.000 Bohr magnetons per cell
polymorph energy (0 for the lowest one) = 2.89 kcal/mol of atoms
uncorrected energy = -4.334 eV/atom
calculated formation energy = 0.29 eV/atom

Cell lengths 9.695, 9.695, 9.695 Å; angles 140.04, 140.04, 57.79 degrees
Fractional positions:
Nd: 0.014 0.635 0.000
Nd: 0.365 0.365 0.379
Nd: 0.635 0.014 0.000
Nd: 0.986 0.986 0.621
Er: 0.000 0.500 0.500
Er: 0.197 0.197 0.644
Er: 0.446 0.803 0.000
Er: 0.500 0.000 0.500
Er: 0.554 0.554 0.356
Er: 0.803 0.446 0.000
Tm: 0.000 0.000 0.000

8.
Entry from Alexandria: Nd4Er6Tm after structural relaxation (PBE-GGA).

## Properties
size of the total moment = 0.000 Bohr magnetons per cell
polymorph energy (0 for the lowest one) = 0.00 kcal/mol of atoms
uncorrected energy = -4.460 eV/atom
calculated formation energy = 0.17 eV/atom

Cell lengths 10.985, 10.985, 3.550 Å; angles 90.00, 90.00, 120.00 degrees
Fractional positions:
Nd: 0.000 0.000 0.000
Nd: 0.501 0.002 0.500
Nd: 0.501 0.499 0.500
Nd: 0.998 0.499 0.500
Er: 0.174 0.349 0.000
Er: 0.174 0.826 0.000
Er: 0.309 0.154 0.500
Er: 0.651 0.826 0.000
Er: 0.846 0.154 0.500
Er: 0.846 0.691 0.500
Tm: 0.667 0.333 0.000

9.
Entry from Alexandria: NdEr9Tm2 after structural relaxation (PBE-GGA).

## Properties
size of the total moment = 0.000 Bohr magnetons per cell
polymorph energy (0 for the lowest one) = 0.30 kcal/mol of atoms
uncorrected energy = -4.526 eV/atom
calculated formation energy = 0.04 eV/atom

Cell lengths 11.111, 11.111, 3.485 Å; angles 90.00, 90.00, 120.00 degrees
Fractional positions:
Nd: 0.000 0.000 0.000
Er: 0.000 0.500 0.000
Er: 0.179 0.358 0.500
Er: 0.179 0.821 0.500
Er: 0.358 0.179 0.500
Er: 0.500 0.000 0.000
Er: 0.500 0.500 0.000
Er: 0.642 0.821 0.500
Er: 0.821 0.179 0.500
Er: 0.821 0.642 0.500
Tm: 0.333 0.667 0.000
Tm: 0.667 0.333 0.000

10.
Entry from Alexandria: NdEr7Tm2 after structural relaxation (PBE-GGA).

## Properties
size of the total moment = 0.000 Bohr magnetons per cell
polymorph energy (0 for the lowest one) = 0.00 kcal/mol of atoms
uncorrected energy = -4.518 eV/atom
calculated formation energy = 0.05 eV/atom

Cell lengths 5.377, 6.969, 9.362 Å; angles 111.78, 106.65, 90.06 degrees
Fractional positions:
Nd: 0.000 0.000 0.000
Er: 0.000 0.500 0.000
Er: 0.201 0.201 0.401
Er: 0.389 0.141 0.778
Er: 0.389 0.637 0.779
Er: 0.611 0.363 0.221
Er: 0.611 0.859 0.222
Er: 0.799 0.799 0.599
Tm: 0.199 0.699 0.399
Tm: 0.801 0.301 0.601

Among the records above, which one has the lowest calculated formation energy? NdEr4Tm3

Copy entry 1 word for word.
Entry from Alexandria: Nd3ErTm3 after structural relaxation (PBE-GGA).

## Properties
size of the total moment = 0.000 Bohr magnetons per cell
polymorph energy (0 for the lowest one) = 0.00 kcal/mol of atoms
uncorrected energy = -4.591 eV/atom
calculated formation energy = 0.02 eV/atom

Cell lengths 9.588, 9.588, 5.729 Å; angles 90.00, 90.00, 120.00 degrees
Fractional positions:
Nd: 0.050 0.805 0.250
Nd: 0.195 0.244 0.250
Nd: 0.244 0.050 0.750
Nd: 0.756 0.950 0.250
Nd: 0.805 0.756 0.750
Nd: 0.950 0.195 0.750
Er: 0.333 0.667 0.250
Er: 0.667 0.333 0.750
Tm: 0.096 0.616 0.750
Tm: 0.384 0.480 0.750
Tm: 0.480 0.096 0.250
Tm: 0.520 0.904 0.750
Tm: 0.616 0.520 0.250
Tm: 0.904 0.384 0.250

What is the calculated formation energy in the fourth record? 0.07 eV/atom